Material: HoPdPt
Method: DFT, GGA-PBE
State: optimized geometry

For the energy relative to the elements, the calculation gives -766.9 meV/atom.

The structure belongs to space group Pmmm (No. 47); the cell edges are 3.8348, 3.9940 and 4.2199 Å and the angles 90.00°, 90.00° and 90.00°. Symmetry generates all atoms from Ho at (0.0000, 0.0000, 0.0000), Pd at (0.0000, 0.5000, 0.5000) and Pt at (0.5000, 0.0000, 0.5000).

***

Material: Ho6PdPt5
Method: DFT, GGA-PBE
State: optimized geometry

For the energy relative to the elements, the calculation gives -1195.7 meV/atom.

The structure belongs to space group Immm (No. 71); the cell edges are 4.9331, 6.9219 and 14.8058 Å and the angles 90.00°, 90.00° and 90.00°. Symmetry generates all atoms from Ho at (0.0000, 0.2469, 0.0000), Ho at (0.0000, 0.2516, 0.3325), Pd at (0.0000, 0.0000, 0.5000), Pt at (0.0000, 0.0000, 0.1694), Pt at (0.0000, 0.5000, 0.1619) and Pt at (0.0000, 0.5000, 0.5000).

***

Material: Ho4Pd7Pt6
Method: DFT, GGA-PBE
State: optimized geometry

For the energy relative to the elements, the calculation gives -808.5 meV/atom.

The structure belongs to space group Im-3m (No. 229); the cell edges are 8.5153, 8.5153 and 8.5153 Å and the angles 90.00°, 90.00° and 90.00°. Symmetry generates all atoms from Ho at (0.2500, 0.2500, 0.2500), Pd at (0.0000, 0.0000, 0.0000), Pd at (0.0000, 0.2500, 0.5000) and Pt at (0.0000, 0.0000, 0.3002).

***

Material: Ho7Pd2Pt2
Method: DFT, GGA-PBE
State: optimized geometry

For the energy relative to the elements, the calculation gives -825.6 meV/atom.

The structure belongs to space group Imm2 (No. 44); the cell edges are 3.8041, 15.3146 and 9.5027 Å and the angles 90.00°, 90.00° and 90.00°. Symmetry generates all atoms from Ho at (0.0000, 0.0000, 0.0000), Ho at (0.0000, 0.1151, 0.6158), Ho at (0.0000, 0.3077, 0.4065), Ho at (0.0000, 0.3767, 0.7649), Pd at (0.0000, 0.0000, 0.3724), Pd at (0.0000, 0.5000, 0.2778) and Pt at (0.0000, 0.2396, 0.1153).

***

Material: HoPd8Pt2
Method: DFT, GGA-PBE
State: optimized geometry

For the energy relative to the elements, the calculation gives -194.8 meV/atom.

The structure belongs to space group C2/m (No. 12); the cell edges are 7.3107, 14.0580 and 4.8848 Å and the angles 90.00°, 131.68° and 90.00°. Symmetry generates all atoms from Ho at (0.0000, 0.0000, 0.0000), Pd at (0.0000, 0.1913, 0.0000), Pd at (0.0141, 0.5000, 0.2639), Pd at (0.2408, 0.1441, 0.7440) and Pt at (0.0000, 0.3252, 0.5000).

***

Material: HoPd4Pt
Method: DFT, GGA-PBE
State: optimized geometry

For the energy relative to the elements, the calculation gives -489.9 meV/atom.

The structure belongs to space group F-43m (No. 216); the cell edges are 7.4687, 7.4687 and 7.4687 Å and the angles 90.00°, 90.00° and 90.00°. Symmetry generates all atoms from Ho at (0.0000, 0.0000, 0.0000), Pd at (0.1243, 0.1243, 0.3757) and Pt at (0.2500, 0.2500, 0.7500).

***

Material: Ho2Pd9Pt
Method: DFT, GGA-PBE
State: optimized geometry

For the energy relative to the elements, the calculation gives -590.9 meV/atom.

The structure belongs to space group P4/mmm (No. 123); the cell edges are 4.0557, 4.0557 and 12.2090 Å and the angles 90.00°, 90.00° and 90.00°. Symmetry generates all atoms from Ho at (0.0000, 0.0000, 0.1709), Pd at (0.0000, 0.5000, 0.0000), Pd at (0.0000, 0.5000, 0.3409), Pd at (0.5000, 0.5000, 0.1708), Pd at (0.5000, 0.5000, 0.5000) and Pt at (0.0000, 0.0000, 0.5000).

***

Material: Ho2Pd7Pt
Method: DFT, GGA-PBE
State: optimized geometry

For the energy relative to the elements, the calculation gives -107.0 meV/atom.

The structure belongs to space group Cmmm (No. 65); the cell edges are 7.3135, 15.1651 and 3.8019 Å and the angles 90.00°, 90.00° and 90.00°. Symmetry generates all atoms from Ho at (0.0000, 0.1904, 0.0000), Pd at (0.0000, 0.0000, 0.0000), Pd at (0.0000, 0.3177, 0.5000), Pd at (0.1888, 0.4058, 0.0000) and Pt at (0.0000, 0.5000, 0.5000).

***

Material: HoPd4Pt
Method: DFT, GGA-PBE
State: optimized geometry

For the energy relative to the elements, the calculation gives -348.8 meV/atom.

The structure belongs to space group Cmc2_1 (No. 36); the cell edges are 4.7339, 17.2668 and 5.5332 Å and the angles 90.00°, 90.00° and 90.00°. Symmetry generates all atoms from Ho at (0.0000, 0.1165, 0.0000), Pd at (0.0000, 0.1265, 0.5008), Pd at (0.0000, 0.2859, 0.5129), Pd at (0.0000, 0.2891, 0.0126), Pd at (0.0000, 0.4285, 0.2481) and Pt at (0.0000, 0.4247, 0.7609).

***

Material: HoPdPt
Method: DFT, GGA-PBE
State: optimized geometry

For the energy relative to the elements, the calculation gives -1038.9 meV/atom.

The structure belongs to space group Cmcm (No. 63); the cell edges are 4.4281, 9.0928 and 5.6691 Å and the angles 90.00°, 90.00° and 90.00°. Symmetry generates all atoms from Ho at (0.0000, 0.1898, 0.2500), Pd at (0.0000, 0.1123, 0.7500) and Pt at (0.0000, 0.5000, 0.0000).

***

Material: HoPd4Pt2
Method: DFT, GGA-PBE
State: optimized geometry

For the energy relative to the elements, the calculation gives -76.8 meV/atom.

The structure belongs to space group Fmmm (No. 69); the cell edges are 7.0498, 7.0633 and 10.4640 Å and the angles 90.00°, 90.00° and 90.00°. Symmetry generates all atoms from Ho at (0.0000, 0.0000, 0.0000), Pd at (0.2500, 0.2500, 0.0000), Pd at (0.2500, 0.2500, 0.2500) and Pt at (0.0000, 0.0000, 0.3694).

***

Material: Ho2Pd2Pt3
Method: DFT, GGA-PBE
State: optimized geometry

For the energy relative to the elements, the calculation gives -852.2 meV/atom.

The structure belongs to space group C2/m (No. 12); the cell edges are 9.5180, 4.1347 and 8.0646 Å and the angles 90.00°, 118.61° and 90.00°. Symmetry generates all atoms from Ho at (0.1955, 0.0000, 0.2741), Pd at (0.1579, 0.0000, 0.8896), Pt at (0.0000, 0.5000, 0.0000) and Pt at (0.0264, 0.5000, 0.3534).

***

Short version: total magnetic moment = 0.0; 0.0; 0.0; 0.0; 0.0; 0.0; 0.0; 0.0; 0.0; 0.0; 0.0; 0.0 Bohr magnetons per cell, in the order given.